Entry 1:
Here is a relaxed structure of InHg2MoPt from Alexandria. Energies are from PBE-GGA.

Computed properties:
* total magnetization: 0.555 μB per atom
* calculated density: 9119 kg/m³
* ΔE_f: 1.3138 eV per atom
* VASP energy: -13.64 eV for the cell shown

a = 5.2580 Å, b = 5.3158 Å, c = 5.2580 Å
α = 90.00°, β = 90.00°, γ = 90.00°
Site moments in Bohr magnetons follow the coordinates.
Atoms (fractional coordinates):
Mo  0.0000  0.0000  0.0000  1.97
Pt  0.5000  0.5000  0.5000  0.28
Hg  0.0000  0.0000  0.5000  0.08
Hg  0.5000  0.0000  0.0000  0.05
In  0.0000  0.5000  0.0000  0.01



Entry 2:
Here is a relaxed structure of PmZnPd3 from Alexandria. Energies are from PBE-GGA.

Computed properties:
* total magnetization: 0.000 μB per atom
* calculated density: 9286 kg/m³
* energy above the most stable polymorph in this dataset: 0.00 eV/f.u.
* ΔE_f: -0.6137 eV per atom
* VASP energy: -49.34 eV for the cell shown

a = 5.4949 Å, b = 8.8130 Å, c = 6.5015 Å
α = 132.67°, β = 115.00°, γ = 90.00°
Atoms (fractional coordinates):
Pd  0.6977  0.6977  0.8953
Pd  0.2500  0.9278  0.5000
Pd  0.3023  0.3023  0.1047
Pd  0.8023  0.3023  0.1047
Pm  0.2500  0.2514  0.5000
Pd  0.7500  0.0722  0.5000
Pm  0.7500  0.7486  0.5000
Pd  0.1977  0.6977  0.8953
Zn  0.5000  0.0000  0.0000
Zn  0.0000  0.5000  0.0000



Entry 3:
Here is a relaxed structure of KHgPtRh2 from Alexandria. Energies are from PBE-GGA.

Computed properties:
* total magnetization: 0.019 μB per atom
* calculated density: 7674 kg/m³
* ΔE_f: 0.8555 eV per atom
* VASP energy: -17.87 eV for the cell shown

a = 4.8450 Å, b = 5.9050 Å, c = 4.8450 Å
α = 90.00°, β = 90.00°, γ = 90.00°
Site moments in Bohr magnetons follow the coordinates.
Atoms (fractional coordinates):
Rh  0.0000  0.0000  0.5000  0.05
K  0.0000  0.5000  0.0000  0.00
Rh  0.5000  0.0000  0.0000  0.02
Pt  0.0000  0.0000  0.0000  0.03
Hg  0.5000  0.5000  0.5000  0.00



Entry 4:
Here is a relaxed structure of Pm3PrGa from Alexandria. Energies are from PBE-GGA.

Computed properties:
* total magnetization: 0.000 μB per atom
* calculated density: 6824 kg/m³
* energy above the most stable polymorph in this dataset: 0.24 eV/f.u.
* ΔE_f: -0.1570 eV per atom
* VASP energy: -91.37 eV for the cell shown

a = 5.3889 Å, b = 10.4252 Å, c = 11.1862 Å
α = 90.00°, β = 90.00°, γ = 90.00°
Atoms (fractional coordinates):
Pr  0.7500  0.2753  0.4847
Pm  0.7500  0.4177  0.9002
Pr  0.2500  0.2247  0.9847
Pm  0.2500  0.5823  0.0998
Pm  0.7500  0.6014  0.6790
Pm  0.2500  0.3986  0.3210
Pm  0.2500  0.0823  0.4002
Pm  0.7500  0.1491  0.1588
Pr  0.2500  0.7247  0.5153
Pm  0.2500  0.8509  0.8412
Ga  0.7500  0.9359  0.3329
Pm  0.2500  0.3509  0.6588
Ga  0.7500  0.4359  0.1671
Pm  0.2500  0.8986  0.1790
Pm  0.7500  0.1014  0.8210
Pm  0.7500  0.6491  0.3412
Pm  0.7500  0.9177  0.5998
Ga  0.2500  0.5641  0.8329
Ga  0.2500  0.0641  0.6671
Pr  0.7500  0.7753  0.0153



Q: The lowest VASP energy belongs to which entry?
A: Pm3PrGa



What did the fourth record say?
Here is a relaxed structure of Pm3PrGa from Alexandria. Energies are from PBE-GGA.

Computed properties:
* total magnetization: 0.000 μB per atom
* calculated density: 6824 kg/m³
* energy above the most stable polymorph in this dataset: 0.24 eV/f.u.
* ΔE_f: -0.1570 eV per atom
* VASP energy: -91.37 eV for the cell shown

a = 5.3889 Å, b = 10.4252 Å, c = 11.1862 Å
α = 90.00°, β = 90.00°, γ = 90.00°
Atoms (fractional coordinates):
Pr  0.7500  0.2753  0.4847
Pm  0.7500  0.4177  0.9002
Pr  0.2500  0.2247  0.9847
Pm  0.2500  0.5823  0.0998
Pm  0.7500  0.6014  0.6790
Pm  0.2500  0.3986  0.3210
Pm  0.2500  0.0823  0.4002
Pm  0.7500  0.1491  0.1588
Pr  0.2500  0.7247  0.5153
Pm  0.2500  0.8509  0.8412
Ga  0.7500  0.9359  0.3329
Pm  0.2500  0.3509  0.6588
Ga  0.7500  0.4359  0.1671
Pm  0.2500  0.8986  0.1790
Pm  0.7500  0.1014  0.8210
Pm  0.7500  0.6491  0.3412
Pm  0.7500  0.9177  0.5998
Ga  0.2500  0.5641  0.8329
Ga  0.2500  0.0641  0.6671
Pr  0.7500  0.7753  0.0153